First-principles (GGA+U) data for an optimized crystal structure of CoH6Se2O8, as listed in OQMD via LeMat-Bulk.

Properties
mass density	3.50	g/cm³
E_tot	-5.176	eV/atom

Unit cell a=6.9688 b=6.7389 c=7.6336 alpha=90.00 beta=111.56 gamma=90.00
Last column: nearest neighbours and their distance in Å.
Fractional positions:
O 0.2011 0.7340 0.4978  2 H 0.99-1.01
O 0.2989 0.2340 0.0022  2 H 0.99-1.01
O 0.7989 0.2660 0.5022  2 H 0.99-1.01
O 0.2666 0.8199 0.8446  1 H 1.59, 1 Se 1.70
O 0.5386 0.0616 0.7406  1 H 1.56, 1 Se 1.71
O 0.6092 0.4569 0.7640  1 H 1.03
O 0.8908 0.9569 0.7360  1 H 1.03
O 0.1092 0.0431 0.2640  1 H 1.03
O 0.7011 0.7660 0.9978  2 H 0.99-1.01
O 0.4614 0.9384 0.2594  1 H 1.56, 1 Se 1.71
O 0.0386 0.4384 0.2406  1 H 1.56, 1 Se 1.71
O 0.7334 0.1801 0.1554  1 H 1.59, 1 Se 1.70
O 0.7666 0.6801 0.3446  1 H 1.59, 1 Se 1.70
O 0.9614 0.5616 0.7594  1 H 1.56, 1 Se 1.71
O 0.2334 0.3199 0.6554  1 H 1.59, 1 Se 1.70
O 0.3908 0.5431 0.2360  1 H 1.03
H 0.7468 0.4817 0.7469  1 O 1.03
H 0.7532 0.9817 0.7531  1 O 1.03
H 0.1263 0.8440 0.4140  1 O 0.99
H 0.2437 0.7858 0.6314  1 O 1.01
H 0.8737 0.1560 0.5860  1 O 0.99
H 0.7563 0.2142 0.3686  1 O 1.01
H 0.2468 0.0183 0.2469  1 O 1.03
H 0.7437 0.7142 0.1314  1 O 1.01
H 0.2563 0.2858 0.8686  1 O 1.01
H 0.2532 0.5183 0.2531  1 O 1.03
H 0.3737 0.3440 0.0860  1 O 0.99
H 0.6263 0.6560 0.9140  1 O 0.99
Se 0.9484 0.2306 0.1068  3 O 1.70-1.82
Se 0.5516 0.7306 0.3932  3 O 1.70-1.82
Se 0.0516 0.7694 0.8932  3 O 1.70-1.82
Se 0.4484 0.2694 0.6068  3 O 1.70-1.82
Co 0.0000 0.5000 0.5000  6 O 2.03-2.13
Co 0.5000 0.0000 0.0000  6 O 2.03-2.13